No. 1
## Tb3HoErSc (GGA-PBE)

Data for crystalline Tb3HoErSc at its relaxed geometry.

Calculated values
The calculation puts the density of states at the Fermi level at 16.5 states/eV/cell. The calculation puts the formation energy at 0.036 eV/atom. The total magnetization comes out at 0.0 Bohr magnetons per cell.

abc: 7.8083 4.9583 9.8884
angles: 90.00 108.58 90.00
Last column: nearest neighbours and their distance in Å.
Space group P2_1/m (No. 11)
Asymmetric unit:
1 Tb 0.1692 0.2500 0.0445 (multiplicity 2)  3 Er 3.48-3.52, 1 Sc 3.48, 3 Ho 3.51-3.57, 5 Tb 3.52-3.53
2 Tb 0.1702 0.7500 0.7899 (multiplicity 2)  3 Er 3.48-3.51, 1 Sc 3.49, 6 Tb 3.50-3.53, 2 Ho 3.55
3 Tb 0.1742 0.2500 0.5413 (multiplicity 2)  3 Sc 3.41-3.46, 1 Er 3.45, 3 Ho 3.47-3.57, 5 Tb 3.50-3.58
4 Ho 0.1736 0.7500 0.2962 (multiplicity 2)  3 Sc 3.41-3.46, 1 Er 3.46, 8 Tb 3.47-3.57
5 Er 0.4993 0.7500 0.1278 (multiplicity 2)  7 Tb 3.45-3.52, 1 Ho 3.46, 2 Sc 3.50, 2 Er 3.54
6 Sc 0.4995 0.2500 0.3783 (multiplicity 2)  3 Ho 3.41-3.46, 5 Tb 3.41-3.49, 2 Sc 3.45, 2 Er 3.50

***

No. 2
## CaTcAs2 (GGA-PBE)

Data for crystalline CaTcAs2 at its relaxed geometry.

Calculated values
The calculation puts the density of states at the Fermi level at 6.0 states/eV/cell. The calculation puts the formation energy at 0.040 eV/atom. The total magnetization comes out at 3.8 Bohr magnetons per cell.

abc: 3.9645 3.9645 9.7225
angles: 90.00 90.00 90.00
Last column: nearest neighbours and their distance in Å.
Space group I-4m2 (No. 119)
Asymmetric unit:
1 Ca 0.0000 0.0000 0.0000 (multiplicity 2)  8 As 2.80-3.14, 4 Tc 3.14
2 Tc 0.0000 0.5000 0.7500 (multiplicity 2)  8 As 2.80-3.14, 4 Ca 3.14
3 As 0.0000 0.0000 0.5000 (multiplicity 2)  4 Ca 2.80, 4 As 3.14, 4 Tc 3.14
4 As 0.0000 0.5000 0.2500 (multiplicity 2)  4 Tc 2.80, 4 As 3.14, 4 Ca 3.14

***

No. 3
## CePm2MnN4 (GGA-PBE)

Data for crystalline CePm2MnN4 at its relaxed geometry.

Calculated values
The calculation puts the density of states at the Fermi level at 20.2 states/eV/cell. For the energy relative to the elements, uncorrected, the calculation gives -1.0587 eV per atom. The total magnetization comes out at 15.8 Bohr magnetons per cell.

abc: 3.4575 11.6052 12.0638
angles: 90.00 90.00 90.00
Last column: nearest neighbours and their distance in Å.
Space group Cmcm (No. 63)
Asymmetric unit:
1 Ce 0.0000 0.1035 0.2500 (multiplicity 4)  6 N 2.61-2.64
2 Pm 0.0000 0.3687 0.0472 (multiplicity 8)  6 N 2.37-2.64
3 Mn 0.0000 0.1656 0.7500 (multiplicity 4)  4 N 1.88-2.06
4 N 0.0000 0.0000 0.0000 (multiplicity 4)  4 Pm 2.37
5 N 0.0000 0.2760 0.6359 (multiplicity 8)  1 Mn 1.88
6 N 0.0000 0.4317 0.2500 (multiplicity 4)  2 Mn 2.06

***

No. 4
## Rb2NaZnP2 (GGA-PBE)

Data for crystalline Rb2NaZnP2 at its relaxed geometry.

Calculated values
The calculation puts the density of states at the Fermi level at 20.8 states/eV/cell. The calculation puts the formation energy at -0.273 eV/atom. The total magnetization comes out at 1.6 Bohr magnetons per cell.

abc: 6.7673 15.3134 6.4897
angles: 90.00 90.00 90.00
Last column: nearest neighbours and their distance in Å.
Space group Ibam (No. 72)
Asymmetric unit:
1 Rb 0.2449 0.1714 0.0000 (multiplicity 8)  4 P 3.36-3.72, 2 Na 3.50, 2 Zn 3.54
2 Na 0.0000 0.0000 0.2500 (multiplicity 4)  4 P 2.90, 2 Na 3.24
3 Zn 0.0000 0.5000 0.2500 (multiplicity 4)  4 P 2.50
4 P 0.2027 0.4135 0.0000 (multiplicity 8)  2 Zn 2.50

***

No. 5
## Dy7Te2Ru2 (GGA-PBE)

Data for crystalline Dy7Te2Ru2 at its relaxed geometry.

Calculated values
The calculation puts the density of states at the Fermi level at 19.5 states/eV/cell. For the energy relative to the elements, uncorrected, the calculation gives -0.7095 eV per atom. The total magnetization comes out at 0.0 Bohr magnetons per cell.

abc: 3.9521 15.8833 9.3592
angles: 90.00 90.00 90.00
Last column: nearest neighbours and their distance in Å.
Space group Imm2 (No. 44)
Asymmetric unit:
1 Dy 0.0000 0.0000 0.0000 (multiplicity 2)  3 Te 3.13-3.17
2 Dy 0.0000 0.1326 0.4176 (multiplicity 4)  2 Ru 2.84, 1 Te 3.13
3 Dy 0.0000 0.3168 0.6237 (multiplicity 4)  3 Ru 2.82-3.13
4 Dy 0.0000 0.3494 0.2599 (multiplicity 4)  2 Ru 2.91, 2 Te 3.23
5 Te 0.0000 0.0000 0.6657 (multiplicity 2)  7 Dy 3.13-3.23
6 Te 0.0000 0.5000 0.7654 (multiplicity 2)  8 Dy 3.17-3.22
7 Ru 0.0000 0.2395 0.9314 (multiplicity 4)  7 Dy 2.82-3.13

***

No. 6
## Zr2UIn (GGA-PBE)

Data for crystalline Zr2UIn at its relaxed geometry.

Calculated values
The calculation puts the density of states at the Fermi level at 7.8 states/eV/cell. The calculation puts the formation energy at 0.014 eV/atom. The total magnetization comes out at 2.6 Bohr magnetons per cell.

abc: 4.7325 4.7325 4.0400
angles: 90.00 90.00 90.00
Last column: nearest neighbours and their distance in Å.
Space group P4/mmm (No. 123)
Asymmetric unit:
1 Zr 0.0000 0.5000 0.0000 (multiplicity 2)  4 In 3.11, 4 U 3.11, 4 Zr 3.35
2 U 0.0000 0.0000 0.5000 (multiplicity 1)  8 Zr 3.11, 4 In 3.35
3 In 0.5000 0.5000 0.5000 (multiplicity 1)  8 Zr 3.11, 4 U 3.35